# 1
A relaxed CoSiOsAu crystal. Source: OQMD via LeMat-Bulk, functional GGA-PBE.

Final energy   -6.45 eV per atom

Cell lengths 4.2938, 4.2938, 4.2938 Å; angles 60.00, 60.00, 60.00 degrees
Fractional positions:
1 Co 0.0000 0.0000 0.0000
2 Si 0.7500 0.7500 0.7500
3 Os 0.5000 0.5000 0.5000
4 Au 0.2500 0.2500 0.2500


# 2
A relaxed ZnCoOsAu crystal. Source: OQMD via LeMat-Bulk, functional GGA-PBE.

E_form   0.491 eV/atom

Cell lengths 4.3593, 4.3593, 4.3593 Å; angles 60.00, 60.00, 60.00 degrees
Fractional positions:
1 Zn 0.0000 0.0000 0.0000
2 Co 0.2500 0.2500 0.2500
3 Os 0.5000 0.5000 0.5000
4 Au 0.7500 0.7500 0.7500


# 3
A relaxed Pa2Co2Au crystal. Source: OQMD via LeMat-Bulk, functional GGA-PBE.

E_form   -0.467 eV/atom

Cell lengths 7.2531, 7.2531, 3.4539 Å; angles 90.00, 90.00, 90.00 degrees
Fractional positions:
1 Pa 0.1710 0.3290 0.0000
2 Pa 0.3290 0.8290 0.0000
3 Pa 0.6710 0.1710 0.0000
4 Pa 0.8290 0.6710 0.0000
5 Co 0.1315 0.6315 0.5000
6 Co 0.3685 0.1315 0.5000
7 Co 0.6315 0.8685 0.5000
8 Co 0.8685 0.3685 0.5000
9 Au 0.0000 0.0000 0.5000
10 Au 0.5000 0.5000 0.5000


# 4
A relaxed Co3Pb5Au crystal. Source: OQMD via LeMat-Bulk, functional GGA-PBE.

Final energy   -4.49 eV per atom

Cell lengths 5.4140, 5.4140, 7.7541 Å; angles 90.00, 90.00, 120.00 degrees
Fractional positions:
1 Co 0.0000 0.5000 0.0000
2 Co 0.5000 0.0000 0.0000
3 Co 0.5000 0.5000 0.0000
4 Pb 0.0000 0.0000 0.0000
5 Pb 0.3333 0.6667 0.2885
6 Pb 0.3333 0.6667 0.7115
7 Pb 0.6667 0.3333 0.2885
8 Pb 0.6667 0.3333 0.7115
9 Au 0.0000 0.0000 0.5000


# 5
A relaxed CoPdPbAu crystal. Source: OQMD via LeMat-Bulk, functional GGA-PBE.

Final energy   -4.66 eV per atom

Cell lengths 4.5832, 4.5832, 4.5832 Å; angles 60.00, 60.00, 60.00 degrees
Fractional positions:
1 Co 0.0000 0.0000 0.0000
2 Pd 0.5000 0.5000 0.5000
3 Pb 0.7500 0.7500 0.7500
4 Au 0.2500 0.2500 0.2500


# 6
A relaxed ScCoPbAu crystal. Source: OQMD via LeMat-Bulk, functional GGA-PBE.

Final energy   -5.20 eV per atom

Cell lengths 4.7154, 4.7154, 4.7154 Å; angles 60.00, 60.00, 60.00 degrees
Fractional positions:
1 Sc 0.0000 0.0000 0.0000
2 Co 0.7500 0.7500 0.7500
3 Pb 0.5000 0.5000 0.5000
4 Au 0.2500 0.2500 0.2500


# 7
A relaxed ScCoPbAu crystal. Source: OQMD via LeMat-Bulk, functional GGA-PBE.

Final energy   -5.20 eV per atom

Cell lengths 4.6915, 4.6915, 4.6915 Å; angles 60.00, 60.00, 60.00 degrees
Fractional positions:
1 Sc 0.0000 0.0000 0.0000
2 Co 0.5000 0.5000 0.5000
3 Pb 0.2500 0.2500 0.2500
4 Au 0.7500 0.7500 0.7500


# 8
A relaxed CoPbAuSe3 crystal. Source: OQMD via LeMat-Bulk, functional GGA-PBE.

Final energy   -4.26 eV per atom

Cell lengths 7.6986, 7.6986, 10.1526 Å; angles 90.00, 90.00, 152.58 degrees
Fractional positions:
1 Co 0.0000 0.0000 0.0000
2 Co 0.0000 0.0000 0.5000
3 Pb 0.3095 0.6905 0.7500
4 Pb 0.6905 0.3095 0.2500
5 Au 0.3543 0.6457 0.2500
6 Au 0.6457 0.3543 0.7500
7 Se 0.0343 0.9657 0.2500
8 Se 0.3958 0.6042 0.0139
9 Se 0.3958 0.6042 0.4861
10 Se 0.6042 0.3958 0.5139
11 Se 0.6042 0.3958 0.9861
12 Se 0.9657 0.0343 0.7500


# 9
A relaxed CoSiPbAu crystal. Source: OQMD via LeMat-Bulk, functional GGA-PBE.

Final energy   -4.33 eV per atom

Cell lengths 4.6607, 4.6607, 4.6607 Å; angles 60.00, 60.00, 60.00 degrees
Fractional positions:
1 Co 0.0000 0.0000 0.0000
2 Si 0.2500 0.2500 0.2500
3 Pb 0.7500 0.7500 0.7500
4 Au 0.5000 0.5000 0.5000


# 10
A relaxed CoSnPbAu crystal. Source: OQMD via LeMat-Bulk, functional GGA-PBE.

Final energy   -4.15 eV per atom

Cell lengths 4.8649, 4.8649, 4.8649 Å; angles 60.00, 60.00, 60.00 degrees
Fractional positions:
1 Co 0.0000 0.0000 0.0000
2 Sn 0.2500 0.2500 0.2500
3 Pb 0.7500 0.7500 0.7500
4 Au 0.5000 0.5000 0.5000


# 11
A relaxed TaCoPbAu crystal. Source: OQMD via LeMat-Bulk, functional GGA-PBE.

Final energy   -5.98 eV per atom

Cell lengths 4.6248, 4.6248, 4.6248 Å; angles 60.00, 60.00, 60.00 degrees
Fractional positions:
1 Ta 0.0000 0.0000 0.0000
2 Co 0.5000 0.5000 0.5000
3 Pb 0.2500 0.2500 0.2500
4 Au 0.7500 0.7500 0.7500


# 12
A relaxed TaCoPbAu crystal. Source: OQMD via LeMat-Bulk, functional GGA-PBE.

Final energy   -5.99 eV per atom

Cell lengths 4.6517, 4.6517, 4.6517 Å; angles 60.00, 60.00, 60.00 degrees
Fractional positions:
1 Ta 0.0000 0.0000 0.0000
2 Co 0.7500 0.7500 0.7500
3 Pb 0.5000 0.5000 0.5000
4 Au 0.2500 0.2500 0.2500


Repeat the second record exactly.
A relaxed ZnCoOsAu crystal. Source: OQMD via LeMat-Bulk, functional GGA-PBE.

E_form   0.491 eV/atom

Cell lengths 4.3593, 4.3593, 4.3593 Å; angles 60.00, 60.00, 60.00 degrees
Fractional positions:
1 Zn 0.0000 0.0000 0.0000
2 Co 0.2500 0.2500 0.2500
3 Os 0.5000 0.5000 0.5000
4 Au 0.7500 0.7500 0.7500